No. 1
The following is a PBE-GGA calculation of a relaxed structure of Ti2InF8, from the Alexandria database.

The structure in POSCAR format:
```
Ti2InF8
1.0
7.6500 0.0000 0.0000
-3.8250 6.6251 0.0000
0.0000 0.0000 3.9536
Ti In F
2 1 8
direct
0.3333 0.6667 0.2446
0.6667 0.3333 0.7554
0.0000 0.0000 0.5000
0.1942 0.3906 0.2447
0.1964 0.8058 0.2447
0.3333 0.6667 0.7448
0.3906 0.1964 0.7553
0.6094 0.8036 0.2447
0.6667 0.3333 0.2552
0.8036 0.1942 0.7553
0.8058 0.6094 0.7553
```

## Properties
Energy above the lowest structure with this stoichiometry = 0 meV per atom
Final energy = -66.84 eV per formula unit

=====

No. 2
The following is a PBE-GGA calculation of a relaxed structure of PmCo12Si4, from the Alexandria database.

The structure in POSCAR format:
```
PmCo12Si4
1.0
-3.8813 3.8813 3.8813
3.8813 -3.8813 3.8813
3.8813 3.8813 -3.8813
Pm Co Si
1 12 4
direct
0.0000 0.0000 0.0000
0.1501 0.3563 0.5064
0.1501 0.6437 0.7938
0.2062 0.8499 0.3563
0.3563 0.2062 0.8499
0.3563 0.5064 0.1501
0.4936 0.8499 0.6437
0.5064 0.1501 0.3563
0.6437 0.4936 0.8499
0.6437 0.7938 0.1501
0.7938 0.1501 0.6437
0.8499 0.3563 0.2062
0.8499 0.6437 0.4936
0.0000 0.0000 0.5000
0.0000 0.5000 0.0000
0.5000 0.0000 0.0000
0.5000 0.5000 0.5000
```

## Properties
Final energy = -107.86 eV per formula unit

=====

No. 3
The following is a PBE-GGA calculation of a relaxed structure of Fe3GeIr, from the Alexandria database.

The structure in POSCAR format:
```
Fe3GeIr
1.0
4.7173 0.0000 0.0000
0.0000 4.7173 0.0000
0.0000 0.0000 4.7173
Fe Ge Ir
3 1 1
direct
0.0000 0.0000 0.5000
0.0000 0.5000 0.0000
0.5000 0.0000 0.0000
0.5000 0.5000 0.5000
0.0000 0.0000 0.0000
```

## Properties
E_form = 5.97 eV/f.u.
Final energy = -32.90 eV per formula unit

=====

No. 4
The following is a PBE-GGA calculation of a relaxed structure of Ac4Cu2Ru, from the Alexandria database.

The structure in POSCAR format:
```
Ac4Cu2Ru
1.0
7.7747 -2.1777 0.0000
7.7747 2.1777 0.0000
-1.1802 0.0000 6.6042
Ac Cu Ru
4 2 1
direct
0.0810 0.0810 0.2697
0.3447 0.3447 0.1882
0.6553 0.6553 0.8118
0.9190 0.9190 0.7303
0.2616 0.2616 0.6007
0.7384 0.7384 0.3993
0.5000 0.5000 0.0000
```

## Properties
E_form = -1.00 eV/f.u.
Energy above the lowest structure with this stoichiometry = 0 meV per atom
Final energy = -34.91 eV per formula unit

=====

No. 5
The following is a PBE-GGA calculation of a relaxed structure of CdAg2PSe4, from the Alexandria database.

The structure in POSCAR format:
```
CdAg2PSe4
1.0
-3.8808 3.9508 5.5749
3.8808 -3.9508 5.5749
3.8808 3.9508 -5.5749
Cd Ag P Se
2 4 2 8
direct
0.0000 0.0000 0.0000
0.5000 0.0000 0.5000
0.0000 0.5000 0.5000
0.5000 0.0000 0.0000
0.5000 0.5000 0.0000
0.5000 0.5000 0.5000
0.0000 0.0000 0.5000
0.0000 0.5000 0.0000
0.2297 0.7482 0.4815
0.2334 0.2518 0.9815
0.2386 0.2417 0.5031
0.2386 0.7356 0.9969
0.7614 0.2644 0.0031
0.7614 0.7583 0.4969
0.7666 0.7482 0.0185
0.7703 0.2518 0.5185
```

## Properties
Final energy = -26.50 eV per formula unit

=====

No. 6
The following is a PBE-GGA calculation of a relaxed structure of TiSnS3, from the Alexandria database.

The structure in POSCAR format:
```
TiSnS3
1.0
4.7402 0.0000 0.0000
0.0000 4.7402 0.0000
0.0000 0.0000 4.7402
Ti Sn S
1 1 3
direct
0.0000 0.0000 0.0000
0.5000 0.5000 0.5000
0.0000 0.0000 0.5000
0.0000 0.5000 0.0000
0.5000 0.0000 0.0000
```

## Properties
Energy above the lowest structure with this stoichiometry = 293 meV per atom
Final energy = -27.51 eV per formula unit

=====

No. 7
The following is a PBE-GGA calculation of a relaxed structure of LaHo3Tl, from the Alexandria database.

The structure in POSCAR format:
```
LaHo3Tl
1.0
2.4684 -12.7945 0.0000
2.4684 12.7945 0.0000
0.0000 0.0000 4.8358
La Ho Tl
2 6 2
direct
0.1460 0.8540 0.7500
0.8540 0.1460 0.2500
0.0445 0.9555 0.2500
0.2519 0.7481 0.2500
0.4495 0.5505 0.2500
0.5505 0.4495 0.7500
0.7481 0.2519 0.7500
0.9555 0.0445 0.7500
0.3449 0.6551 0.7500
0.6551 0.3449 0.2500
```

## Properties
E_form = -0.53 eV/f.u.
Energy above the lowest structure with this stoichiometry = 0 meV per atom
Final energy = -21.56 eV per formula unit

=====

No. 8
The following is a PBE-GGA calculation of a relaxed structure of TaBrN2O, from the Alexandria database.

The structure in POSCAR format:
```
TaBrN2O
1.0
4.2262 0.0000 0.0000
0.0000 4.2262 0.0000
0.0000 0.0000 3.8805
Ta Br N O
1 1 2 1
direct
0.0000 0.0000 0.0000
0.5000 0.5000 0.5000
0.0000 0.5000 0.0000
0.5000 0.0000 0.0000
0.0000 0.0000 0.5000
```

## Properties
Final energy = -34.56 eV per formula unit